(1)
SnSb2TeH: optimized geometry, PBE-GGA.

POSCAR file:
```
SnSb2TeH
1.0
-2.098 5.221 -1.131
-4.230 -0.882 3.777
3.315 2.250 4.238
Sb Te Sn H
2 1 1 1
Cartesian
-2.115 -0.441 1.889
-1.049 2.610 -0.565
1.658 1.125 2.119
0.000 0.000 0.000
-1.506 3.294 3.442
```

Computed properties:
Density, Mg/m³: 4.24
Relative energy among the computed polymorphs, meV/atom: 735.4
Magnetic moment, μB/atom: 0.085
Space group: P4/mmm, No. 123


(2)
Ti4SnSbH: optimized geometry, PBE-GGA.

POSCAR file:
```
Ti4SnSbH
1.0
-0.692 5.463 -0.806
-2.929 -1.052 -4.616
-5.899 -2.932 4.411
Ti Sn Sb H
8 2 2 2
Cartesian
-6.331 2.300 1.813
-7.454 -0.958 -0.088
-3.189 -0.821 -2.825
-2.066 2.437 -0.924
-4.760 0.740 -0.506
-2.949 -1.466 2.205
-3.296 1.266 1.802
-4.414 -1.992 -0.103
-2.089 -0.307 -0.283
-7.431 1.786 -0.729
-3.920 1.898 -2.982
-5.600 -0.419 1.970
-5.757 -0.903 -1.178
-3.763 2.383 0.166
```

Computed properties:
Density, Mg/m³: 6.25
Calculated total energy, eV/atom: -6.600
Magnetic moment, μB/atom: 0.000
Space group: Cmcm, No. 63


Q: Look up the magnetic moment of the second one.
A: 0.000 μB/atom